Compound: Pm3Re5N12
Source: Alexandria via LeMat-Bulk
Functional: PBE
Structure: optimized geometry

Cell: 11.1814 11.1814 11.1814 Å, 109.47 109.47 109.47°
Closest atoms and distances in Å follow each position.
Atoms (fractional coordinates):
Pm (0.1250, 0.2500, 0.3750)  8 N 2.51-2.70
Pm (0.1250, 0.3750, 0.7500)  8 N 2.51-2.70
Pm (0.2500, 0.3750, 0.1250)  8 N 2.51-2.70
Pm (0.2500, 0.8750, 0.6250)  8 N 2.51-2.70
Pm (0.3750, 0.1250, 0.2500)  8 N 2.51-2.70
Pm (0.3750, 0.7500, 0.1250)  8 N 2.51-2.70
Pm (0.6250, 0.2500, 0.8750)  8 N 2.51-2.70
Pm (0.6250, 0.8750, 0.7500)  8 N 2.51-2.70
Pm (0.7500, 0.1250, 0.3750)  8 N 2.51-2.70
Pm (0.7500, 0.6250, 0.8750)  8 N 2.51-2.70
Pm (0.8750, 0.6250, 0.2500)  8 N 2.51-2.70
Pm (0.8750, 0.7500, 0.6250)  8 N 2.51-2.70
Re (0.0000, 0.0000, 0.0000)  6 N 2.04
Re (0.0000, 0.0000, 0.5000)  6 N 2.04
Re (0.0000, 0.5000, 0.0000)  6 N 2.04
Re (0.0000, 0.5000, 0.5000)  6 N 2.04
Re (0.1250, 0.7500, 0.8750)  4 N 1.86
Re (0.1250, 0.8750, 0.2500)  4 N 1.86
Re (0.2500, 0.1250, 0.8750)  4 N 1.86
Re (0.2500, 0.6250, 0.3750)  4 N 1.86
Re (0.3750, 0.2500, 0.6250)  4 N 1.86
Re (0.3750, 0.6250, 0.7500)  4 N 1.86
Re (0.5000, 0.0000, 0.0000)  6 N 2.04
Re (0.5000, 0.0000, 0.5000)  6 N 2.04
Re (0.5000, 0.5000, 0.0000)  6 N 2.04
Re (0.5000, 0.5000, 0.5000)  6 N 2.04
Re (0.6250, 0.3750, 0.2500)  4 N 1.86
Re (0.6250, 0.7500, 0.3750)  4 N 1.86
Re (0.7500, 0.3750, 0.6250)  4 N 1.86
Re (0.7500, 0.8750, 0.1250)  4 N 1.86
Re (0.8750, 0.1250, 0.7500)  4 N 1.86
Re (0.8750, 0.2500, 0.1250)  4 N 1.86
N (0.0107, 0.1928, 0.1135)  2 Re 1.86-2.04
N (0.0107, 0.3179, 0.8973)  2 Re 1.86-2.04
N (0.0794, 0.6928, 0.6821)  2 Re 1.86-2.04
N (0.0794, 0.8865, 0.3973)  2 Re 1.86-2.04
N (0.1027, 0.6135, 0.4206)  2 Re 1.86-2.04
N (0.1027, 0.9893, 0.6821)  2 Re 1.86-2.04
N (0.1135, 0.0107, 0.1928)  2 Re 1.86-2.04
N (0.1135, 0.6027, 0.9206)  2 Re 1.86-2.04
N (0.1821, 0.1928, 0.5794)  2 Re 1.86-2.04
N (0.1821, 0.4893, 0.6027)  2 Re 1.86-2.04
N (0.1928, 0.1135, 0.0107)  2 Re 1.86-2.04
N (0.1928, 0.5794, 0.1821)  2 Re 1.86-2.04
N (0.3072, 0.3179, 0.9206)  2 Re 1.86-2.04
N (0.3072, 0.4893, 0.3865)  2 Re 1.86-2.04
N (0.3179, 0.8973, 0.0107)  2 Re 1.86-2.04
N (0.3179, 0.9206, 0.3072)  2 Re 1.86-2.04
N (0.3865, 0.3072, 0.4893)  2 Re 1.86-2.04
N (0.3865, 0.5794, 0.8973)  2 Re 1.86-2.04
N (0.3973, 0.0794, 0.8865)  2 Re 1.86-2.04
N (0.3973, 0.8179, 0.5107)  2 Re 1.86-2.04
N (0.4206, 0.1027, 0.6135)  2 Re 1.86-2.04
N (0.4206, 0.8179, 0.8072)  2 Re 1.86-2.04
N (0.4893, 0.3865, 0.3072)  2 Re 1.86-2.04
N (0.4893, 0.6027, 0.1821)  2 Re 1.86-2.04
N (0.5107, 0.3973, 0.8179)  2 Re 1.86-2.04
N (0.5107, 0.6135, 0.6928)  2 Re 1.86-2.04
N (0.5794, 0.1821, 0.1928)  2 Re 1.86-2.04
N (0.5794, 0.8973, 0.3865)  2 Re 1.86-2.04
N (0.6027, 0.1821, 0.4893)  2 Re 1.86-2.04
N (0.6027, 0.9206, 0.1135)  2 Re 1.86-2.04
N (0.6135, 0.4206, 0.1027)  2 Re 1.86-2.04
N (0.6135, 0.6928, 0.5107)  2 Re 1.86-2.04
N (0.6821, 0.0794, 0.6928)  2 Re 1.86-2.04
N (0.6821, 0.1027, 0.9893)  2 Re 1.86-2.04
N (0.6928, 0.5107, 0.6135)  2 Re 1.86-2.04
N (0.6928, 0.6821, 0.0794)  2 Re 1.86-2.04
N (0.8072, 0.4206, 0.8179)  2 Re 1.86-2.04
N (0.8072, 0.8865, 0.9893)  2 Re 1.86-2.04
N (0.8179, 0.5107, 0.3973)  2 Re 1.86-2.04
N (0.8179, 0.8072, 0.4206)  2 Re 1.86-2.04
N (0.8865, 0.3973, 0.0794)  2 Re 1.86-2.04
N (0.8865, 0.9893, 0.8072)  2 Re 1.86-2.04
N (0.8973, 0.0107, 0.3179)  2 Re 1.86-2.04
N (0.8973, 0.3865, 0.5794)  2 Re 1.86-2.04
N (0.9206, 0.1135, 0.6027)  2 Re 1.86-2.04
N (0.9206, 0.3072, 0.3179)  2 Re 1.86-2.04
N (0.9893, 0.6821, 0.1027)  2 Re 1.86-2.04
N (0.9893, 0.8072, 0.8865)  2 Re 1.86-2.04

E_form (uncorrected): -0.5141 eV per atom
space group: Ia-3d, No. 230
energy: -0.686 Ry per atom

=====

Compound: La2NbSiSb
Source: Alexandria via LeMat-Bulk
Functional: PBE
Structure: optimized geometry

Cell: 5.5591 5.5591 4.8400 Å, 90.00 90.00 90.00°
Closest atoms and distances in Å follow each position.
Atoms (fractional coordinates):
La (0.0000, 0.5000, 0.0000)  2 Nb 2.78
La (0.5000, 0.0000, 0.0000)  2 Nb 2.78
Nb (0.0000, 0.0000, 0.0000)  2 Si 2.42
Si (0.0000, 0.0000, 0.5000)  2 Nb 2.42
Sb (0.5000, 0.5000, 0.5000)  8 La 3.69, 4 Si 3.93

E_form (uncorrected): 0.0001 eV per atom
space group: P4/mmm, No. 123
energy: -0.433 Ry per atom

=====

Compound: ScTlCd2
Source: Alexandria via LeMat-Bulk
Functional: PBE
Structure: optimized geometry

Cell: 10.0773 3.4838 5.5570 Å, 90.00 102.33 90.00°
Closest atoms and distances in Å follow each position.
Atoms (fractional coordinates):
Sc (0.0000, 0.0000, 0.0000)  3 Tl 3.02-3.12, 7 Cd 3.14-3.35
Sc (0.5000, 0.5000, 0.0000)  3 Tl 3.02-3.12, 7 Cd 3.14-3.35
Tl (0.2472, 0.0000, 0.7732)  3 Sc 3.02-3.12, 7 Cd 3.23-3.30
Tl (0.7472, 0.5000, 0.7732)  3 Sc 3.02-3.12, 7 Cd 3.23-3.30
Cd (0.2472, 0.5000, 0.2683)  3 Cd 3.04-3.06, 3 Sc 3.14-3.21, 4 Tl 3.26-3.30
Cd (0.4933, 0.0000, 0.4827)  3 Cd 3.04-3.06, 4 Sc 3.21-3.35, 3 Tl 3.23-3.24
Cd (0.7472, 0.0000, 0.2683)  3 Cd 3.04-3.06, 3 Sc 3.14-3.21, 4 Tl 3.26-3.30
Cd (0.9933, 0.5000, 0.4827)  3 Cd 3.04-3.06, 4 Sc 3.21-3.35, 3 Tl 3.23-3.24

distance to the lowest polymorph of the same formula: 10.2 kJ/mol of atoms
space group: Cm, No. 8
energy: -0.199 Ry per atom

=====

Compound: Zr2VCr
Source: Alexandria via LeMat-Bulk
Functional: PBE
Structure: optimized geometry

Cell: 7.2469 7.2469 5.7117 Å, 90.00 90.00 90.00°
Closest atoms and distances in Å follow each position.
Atoms (fractional coordinates):
Zr (0.2415, 0.2500, 0.1250)  2 Cr 2.62, 2 V 2.70, 2 Zr 2.86
Zr (0.2500, 0.7415, 0.3750)  2 Cr 2.62, 2 V 2.70, 2 Zr 2.86
Zr (0.2500, 0.7585, 0.8750)  2 Cr 2.62, 2 V 2.70, 2 Zr 2.86
Zr (0.2585, 0.2500, 0.6250)  2 Cr 2.62, 2 V 2.70, 2 Zr 2.86
Zr (0.7415, 0.7500, 0.6250)  2 Cr 2.62, 2 V 2.70, 2 Zr 2.86
Zr (0.7500, 0.2415, 0.8750)  2 Cr 2.62, 2 V 2.70, 2 Zr 2.86
Zr (0.7500, 0.2585, 0.3750)  2 Cr 2.62, 2 V 2.70, 2 Zr 2.86
Zr (0.7585, 0.7500, 0.1250)  2 Cr 2.62, 2 V 2.70, 2 Zr 2.86
V (0.0000, 0.0000, 0.5000)  4 Zr 2.70, 2 Cr 2.86
V (0.0000, 0.5000, 0.7500)  4 Zr 2.70, 2 Cr 2.86
V (0.5000, 0.0000, 0.2500)  4 Zr 2.70, 2 Cr 2.86
V (0.5000, 0.5000, 0.0000)  4 Zr 2.70, 2 Cr 2.86
Cr (0.0000, 0.0000, 0.0000)  4 Zr 2.62, 2 V 2.86
Cr (0.0000, 0.5000, 0.2500)  4 Zr 2.62, 2 V 2.86
Cr (0.5000, 0.0000, 0.7500)  4 Zr 2.62, 2 V 2.86
Cr (0.5000, 0.5000, 0.5000)  4 Zr 2.62, 2 V 2.86

distance to the lowest polymorph of the same formula: 45.5 kJ/mol of atoms
space group: I-42d, No. 122
energy: -0.609 Ry per atom

=====

Compound: Cs12Rb7Pt
Source: Alexandria via LeMat-Bulk
Functional: PBE
Structure: optimized geometry

Cell: 13.8447 13.8447 13.8447 Å, 110.96 110.96 110.96°
Closest atoms and distances in Å follow each position.
Atoms (fractional coordinates):
Cs (0.0227, 0.1678, 0.2639)  1 Pt 3.38
Cs (0.1678, 0.2639, 0.0227)  1 Pt 3.38
Cs (0.2385, 0.6612, 0.6097)  6 Rb 5.15-5.31, 6 Cs 5.26-5.50
Cs (0.2639, 0.0227, 0.1678)  1 Pt 3.38
Cs (0.3388, 0.3903, 0.7615)  6 Rb 5.15-5.31, 6 Cs 5.26-5.50
Cs (0.3903, 0.7615, 0.3388)  6 Rb 5.15-5.31, 6 Cs 5.26-5.50
Cs (0.6097, 0.2385, 0.6612)  6 Rb 5.15-5.31, 6 Cs 5.26-5.50
Cs (0.6612, 0.6097, 0.2385)  6 Rb 5.15-5.31, 6 Cs 5.26-5.50
Cs (0.7361, 0.9773, 0.8322)  1 Pt 3.38
Cs (0.7615, 0.3388, 0.3903)  6 Rb 5.15-5.31, 6 Cs 5.26-5.50
Cs (0.8322, 0.7361, 0.9773)  1 Pt 3.38
Cs (0.9773, 0.8322, 0.7361)  1 Pt 3.38
Rb (0.0798, 0.5430, 0.8695)  3 Rb 5.12-5.15, 9 Cs 5.15-5.38
Rb (0.1305, 0.9202, 0.4570)  3 Rb 5.12-5.15, 9 Cs 5.15-5.38
Rb (0.4570, 0.1305, 0.9202)  3 Rb 5.12-5.15, 9 Cs 5.15-5.38
Rb (0.5000, 0.5000, 0.5000)  12 Cs 5.25-5.26
Rb (0.5430, 0.8695, 0.0798)  3 Rb 5.12-5.15, 9 Cs 5.15-5.38
Rb (0.8695, 0.0798, 0.5430)  3 Rb 5.12-5.15, 9 Cs 5.15-5.38
Rb (0.9202, 0.4570, 0.1305)  3 Rb 5.12-5.15, 9 Cs 5.15-5.38
Pt (0.0000, 0.0000, 0.0000)  6 Cs 3.38

space group: R-3, No. 148
energy: -0.086 Ry per atom

=====

Compound: NaLi2InCl6
Source: Alexandria via LeMat-Bulk
Functional: PBE
Structure: optimized geometry

Cell: 7.1594 7.1594 7.1594 Å, 54.84 54.84 54.84°
Closest atoms and distances in Å follow each position.
Atoms (fractional coordinates):
Na (0.0000, 0.0000, 0.0000)  6 Cl 2.74-2.90
Li (0.1987, 0.1987, 0.1987)  6 Cl 2.51-2.73
Li (0.7048, 0.7048, 0.7048)  6 Cl 2.57-2.74
In (0.5115, 0.5115, 0.5115)  6 Cl 2.54-2.58
Cl (0.1130, 0.4306, 0.7773)  1 In 2.54, 2 Li 2.57-2.73
Cl (0.3172, 0.9179, 0.5691)  2 Li 2.51-2.74, 1 In 2.58, 1 Na 2.74
Cl (0.4306, 0.7773, 0.1130)  1 In 2.54, 2 Li 2.57-2.73
Cl (0.5691, 0.3172, 0.9179)  2 Li 2.51-2.74, 1 In 2.58, 1 Na 2.74
Cl (0.7773, 0.1130, 0.4306)  1 In 2.54, 2 Li 2.57-2.73
Cl (0.9179, 0.5691, 0.3172)  2 Li 2.51-2.74, 1 In 2.58, 1 Na 2.74

E_form (uncorrected): -1.5152 eV per atom
space group: R3, No. 146
energy: -0.251 Ry per atom

=====

Compound: BaTi3Cl
Source: Alexandria via LeMat-Bulk
Functional: PBE
Structure: optimized geometry

Cell: 4.7962 4.7962 4.7962 Å, 90.00 90.00 90.00°
Closest atoms and distances in Å follow each position.
Atoms (fractional coordinates):
Ba (0.0000, 0.0000, 0.0000)  12 Ti 3.39
Ti (0.0000, 0.5000, 0.5000)  2 Cl 2.40
Ti (0.5000, 0.0000, 0.5000)  2 Cl 2.40
Ti (0.5000, 0.5000, 0.0000)  2 Cl 2.40
Cl (0.5000, 0.5000, 0.5000)  6 Ti 2.40

E_form (uncorrected): 0.3945 eV per atom
distance to the lowest polymorph of the same formula: 0.0 kJ/mol of atoms
space group: Pm-3m, No. 221
energy: -0.375 Ry per atom

=====

Compound: SrBe2Pt
Source: Alexandria via LeMat-Bulk
Functional: PBE
Structure: optimized geometry

Cell: 5.8050 7.5084 3.0217 Å, 90.00 92.10 90.00°
Closest atoms and distances in Å follow each position.
Atoms (fractional coordinates):
Sr (0.0000, 0.0000, 0.0000)  8 Be 2.78-2.84, 2 Pt 2.90, 2 Sr 3.02
Sr (0.5000, 0.5000, 0.0000)  8 Be 2.78-2.84, 2 Pt 2.90, 2 Sr 3.02
Be (0.2500, 0.2500, 0.5000)  4 Sr 2.78-2.84, 4 Pt 2.78-2.84, 4 Be 2.90-3.02
Be (0.2500, 0.7500, 0.5000)  4 Sr 2.78-2.84, 4 Pt 2.78-2.84, 4 Be 2.90-3.02
Be (0.7500, 0.2500, 0.5000)  4 Sr 2.78-2.84, 4 Pt 2.78-2.84, 4 Be 2.90-3.02
Be (0.7500, 0.7500, 0.5000)  4 Sr 2.78-2.84, 4 Pt 2.78-2.84, 4 Be 2.90-3.02
Pt (0.0000, 0.5000, 0.0000)  8 Be 2.78-2.84, 2 Sr 2.90, 2 Pt 3.02
Pt (0.5000, 0.0000, 0.0000)  8 Be 2.78-2.84, 2 Sr 2.90, 2 Pt 3.02

distance to the lowest polymorph of the same formula: 99.5 kJ/mol of atoms
space group: C2/m, No. 12
energy: -0.240 Ry per atom

=====

| no. | spin magnetization (Bohr magnetons per cell) |
| --- | --- |
| 1 | 0.000 |
| 2 | 0.000 |
| 3 | 0.000 |
| 4 | 3.402 |
| 5 | 0.000 |
| 6 | 0.000 |
| 7 | 0.900 |
| 8 | 0.000 |